Record 1
A plane-wave DFT calculation with PBE was carried out for Hf2Be16Au after structural relaxation.

Structure (CIF):
```
data_Hf2Be16Au
_symmetry_space_group_name_H-M 'R 3 m'
_symmetry_Int_Tables_number 160
_symmetry_space_group_name_Hall 'R 3 -2"'
_cell_length_a 7.6371
_cell_length_b 7.6371
_cell_length_c 11.1440
_cell_angle_alpha 90.00
_cell_angle_beta 90.00
_cell_angle_gamma 120.00
loop_
_atom_site_label
_atom_site_type_symbol
_atom_site_fract_x
_atom_site_fract_y
_atom_site_fract_z
Hf1 Hf 0.0000 0.0000 0.0000
Hf2 Hf 0.0000 0.0000 0.3129
Be1 Be 0.0000 0.0000 0.7700
Be2 Be 0.9997 0.2944 0.6602
Be3 Be 0.0102 0.5051 0.8174
Be4 Be 0.1675 0.3349 0.8355
Be5 Be 0.1719 0.3438 0.4942
Au1 Au 0.0000 0.0000 0.5637
```

=====

Record 2
A plane-wave DFT calculation with PBE was carried out for LiCdOs2 after structural relaxation.

Structure (CIF):
```
data_LiCdOs2
_symmetry_space_group_name_H-M 'I -4 2 d'
_symmetry_Int_Tables_number 122
_symmetry_space_group_name_Hall 'I -4 2bw'
_cell_length_a 3.690
_cell_length_b 3.690
_cell_length_c 19.486
_cell_angle_alpha 90.00
_cell_angle_beta 90.00
_cell_angle_gamma 90.00
loop_
_atom_site_label
_atom_site_type_symbol
_atom_site_fract_x
_atom_site_fract_y
_atom_site_fract_z
Li1 Li 0.000 0.000 0.000
Cd1 Cd 0.000 0.000 0.500
Os1 Os 0.215 0.250 0.125
```

=====

Calculated values (meV per atom) of energy of formation for the records, taken in order: -225, 668.
Calculated values (μB per formula unit) of total moment for the records, taken in order: 0.0, 0.0.